KIn2AsIr: relaxed, PBE-GGA.

Geometry as CIF:
```
data_KIn2AsIr
_chemical_formula_sum 'K1 In2 As1 Ir1'
_space_group_name_H-M_alt 'P 4/m m m'
_space_group_IT_number 123
_space_group_name_Hall '-P 4 2'
_cell_length_a 5.225
_cell_length_b 5.225
_cell_length_c 5.084
_cell_angle_alpha 90.00
_cell_angle_beta 90.00
_cell_angle_gamma 90.00
loop_
_atom_site_label
_atom_site_type_symbol
_atom_site_fract_x
_atom_site_fract_y
_atom_site_fract_z
_atom_site_occupancy
K1 K 0.000 0.000 0.000 1
In1 In 0.000 0.500 0.500 1
As1 As 0.500 0.500 0.000 1
Ir1 Ir 0.500 0.500 0.500 1
```

Summary:
ρ   6.41 g cm⁻³
Crystal system   tetragonal
DFT formation energy   0.019 eV/atom

=====

In2AsIrPd: relaxed, PBE-GGA.

Geometry as CIF:
```
data_In2AsIrPd
_chemical_formula_sum 'In2 As1 Ir1 Pd1'
_space_group_name_H-M_alt 'P 4/m m m'
_space_group_IT_number 123
_space_group_name_Hall '-P 4 2'
_cell_length_a 5.135
_cell_length_b 5.135
_cell_length_c 4.581
_cell_angle_alpha 90.00
_cell_angle_beta 90.00
_cell_angle_gamma 90.00
loop_
_atom_site_label
_atom_site_type_symbol
_atom_site_fract_x
_atom_site_fract_y
_atom_site_fract_z
_atom_site_occupancy
In1 In 0.000 0.500 0.000 1
As1 As 0.000 0.000 0.000 1
Ir1 Ir 0.500 0.500 0.500 1
Pd1 Pd 0.000 0.000 0.500 1
```

Summary:
ρ   8.29 g cm⁻³
Crystal system   tetragonal
DFT formation energy   0.933 eV/atom

=====

RbInAsIr: relaxed, PBE-GGA.

Geometry as CIF:
```
data_RbInAsIr
_chemical_formula_sum 'Rb2 In2 As2 Ir2'
_space_group_name_H-M_alt 'P 4/n m m'
_space_group_IT_number 129
_cell_length_a 4.130
_cell_length_b 4.130
_cell_length_c 13.603
_cell_angle_alpha 90.00
_cell_angle_beta 90.00
_cell_angle_gamma 90.00
loop_
_space_group_symop_operation_xyz
'x,y,z'
'-x,-y,-z'
'-y+1/2,x,z'
'y+1/2,-x,-z'
'-x+1/2,-y+1/2,z'
'x+1/2,y+1/2,-z'
'y,-x+1/2,z'
'-y,x+1/2,-z'
'x+1/2,-y,-z'
'-x+1/2,y,z'
'-y,-x,-z'
'y,x,z'
'-x,y+1/2,-z'
'x,-y+1/2,z'
'y+1/2,x+1/2,-z'
'-y+1/2,-x+1/2,z'
loop_
_atom_site_label
_atom_site_type_symbol
_atom_site_fract_x
_atom_site_fract_y
_atom_site_fract_z
_atom_site_occupancy
Rb1 Rb 0.250 0.250 0.247 1
In1 In 0.250 0.750 0.500 1
As1 As 0.250 0.250 0.899 1
Ir1 Ir 0.250 0.750 0.000 1
```

Summary:
ρ   6.69 g cm⁻³
Crystal system   tetragonal
DFT formation energy   -0.269 eV/atom

=====

In2SiAsIr: relaxed, PBE-GGA.

Geometry as CIF:
```
data_In2SiAsIr
_chemical_formula_sum 'In2 Si1 As1 Ir1'
_space_group_name_H-M_alt 'P 4/m m m'
_space_group_IT_number 123
_space_group_name_Hall '-P 4 2'
_cell_length_a 5.376
_cell_length_b 5.376
_cell_length_c 4.556
_cell_angle_alpha 90.00
_cell_angle_beta 90.00
_cell_angle_gamma 90.00
loop_
_atom_site_label
_atom_site_type_symbol
_atom_site_fract_x
_atom_site_fract_y
_atom_site_fract_z
_atom_site_occupancy
In1 In 0.000 0.500 0.000 1
Si1 Si 0.000 0.000 0.500 1
As1 As 0.500 0.500 0.000 1
Ir1 Ir 0.500 0.500 0.500 1
```

Summary:
ρ   6.62 g cm⁻³
Crystal system   tetragonal
Total energy   -19.8 eV per cell

=====

ZrIn2AsIr: relaxed, PBE-GGA.

Geometry as CIF:
```
data_ZrIn2AsIr
_chemical_formula_sum 'Zr1 In2 As1 Ir1'
_space_group_name_H-M_alt 'P 4/m m m'
_space_group_IT_number 123
_space_group_name_Hall '-P 4 2'
_cell_length_a 5.183
_cell_length_b 5.183
_cell_length_c 4.645
_cell_angle_alpha 90.00
_cell_angle_beta 90.00
_cell_angle_gamma 90.00
loop_
_atom_site_label
_atom_site_type_symbol
_atom_site_fract_x
_atom_site_fract_y
_atom_site_fract_z
_atom_site_occupancy
Zr1 Zr 0.000 0.000 0.000 1
In1 In 0.000 0.500 0.500 1
As1 As 0.500 0.500 0.000 1
Ir1 Ir 0.500 0.500 0.500 1
```

Summary:
ρ   7.83 g cm⁻³
Crystal system   tetragonal
DFT formation energy   0.492 eV/atom

=====

K2InAs: relaxed, PBE-GGA.

Geometry as CIF:
```
data_K2InAs
_chemical_formula_sum 'K2 In1 As1'
_space_group_name_H-M_alt 'P 1 m 1'
_space_group_IT_number 6
_space_group_name_Hall 'P -2y'
_cell_length_a 5.305
_cell_length_b 4.302
_cell_length_c 6.975
_cell_angle_alpha 90.00
_cell_angle_beta 112.22
_cell_angle_gamma 90.00
loop_
_atom_site_label
_atom_site_type_symbol
_atom_site_fract_x
_atom_site_fract_y
_atom_site_fract_z
_atom_site_occupancy
K1 K 0.000 0.000 0.000 1
K2 K 0.303 0.500 0.605 1
In1 In 0.602 0.500 0.204 1
As1 As 0.734 0.000 0.462 1
```

Summary:
ρ   3.02 g cm⁻³
Crystal system   monoclinic
DFT formation energy   -0.335 eV/atom
Relative energy among the computed polymorphs   0.0 meV/atom

=====

K2InAs2: relaxed, PBE-GGA.

Geometry as CIF:
```
data_K2InAs2
_chemical_formula_sum 'K4 In2 As4'
_space_group_name_H-M_alt 'P 4/m b m'
_space_group_IT_number 127
_space_group_name_Hall '-P 4 2ab'
_cell_length_a 7.552
_cell_length_b 7.552
_cell_length_c 5.360
_cell_angle_alpha 90.00
_cell_angle_beta 90.00
_cell_angle_gamma 90.00
loop_
_atom_site_label
_atom_site_type_symbol
_atom_site_fract_x
_atom_site_fract_y
_atom_site_fract_z
_atom_site_occupancy
K1 K 0.175 0.325 0.000 1
In1 In 0.000 0.000 0.500 1
As1 As 0.116 0.616 0.500 1
```

Summary:
ρ   3.73 g cm⁻³
Crystal system   tetragonal
DFT formation energy   -0.301 eV/atom
Relative energy among the computed polymorphs   96.0 meV/atom

=====

KInAs4: relaxed, PBE-GGA.

Geometry as CIF:
```
data_KInAs4
_chemical_formula_sum 'K4 In4 As16'
_space_group_name_H-M_alt 'F -4 3 m'
_space_group_IT_number 216
_space_group_name_Hall 'F -4 2 3'
_cell_length_a 8.392
_cell_length_b 8.392
_cell_length_c 8.392
_cell_angle_alpha 90.00
_cell_angle_beta 90.00
_cell_angle_gamma 90.00
loop_
_atom_site_label
_atom_site_type_symbol
_atom_site_fract_x
_atom_site_fract_y
_atom_site_fract_z
_atom_site_occupancy
K1 K 0.000 0.000 0.000 1
In1 In 0.250 0.250 0.250 1
As1 As 0.114 0.114 0.614 1
```

Summary:
ρ   5.10 g cm⁻³
Crystal system   cubic
DFT formation energy   -0.007 eV/atom

=====

KIn2As: relaxed, PBE-GGA.

Geometry as CIF:
```
data_KIn2As
_chemical_formula_sum 'K2 In4 As2'
_space_group_name_H-M_alt 'C 1 2/m 1'
_space_group_IT_number 12
_space_group_name_Hall '-C 2y'
_cell_length_a 12.786
_cell_length_b 3.602
_cell_length_c 5.880
_cell_angle_alpha 90.00
_cell_angle_beta 117.17
_cell_angle_gamma 90.00
loop_
_atom_site_label
_atom_site_type_symbol
_atom_site_fract_x
_atom_site_fract_y
_atom_site_fract_z
_atom_site_occupancy
K1 K 0.000 0.000 0.000 1
In1 In 0.197 0.000 0.695 1
As1 As 0.000 0.500 0.500 1
```

Summary:
ρ   4.74 g cm⁻³
Crystal system   monoclinic
DFT formation energy   -0.149 eV/atom

=====

KIn2As: relaxed, PBE-GGA.

Geometry as CIF:
```
data_KIn2As
_chemical_formula_sum 'K2 In4 As2'
_space_group_name_H-M_alt 'C 1 m 1'
_space_group_IT_number 8
_space_group_name_Hall 'C -2y'
_cell_length_a 7.390
_cell_length_b 4.270
_cell_length_c 8.847
_cell_angle_alpha 90.00
_cell_angle_beta 106.09
_cell_angle_gamma 90.00
loop_
_atom_site_label
_atom_site_type_symbol
_atom_site_fract_x
_atom_site_fract_y
_atom_site_fract_z
_atom_site_occupancy
K1 K 0.000 0.000 0.000 1
In1 In 0.227 0.000 0.679 1
In2 In 0.443 0.000 0.328 1
As1 As 0.335 0.500 0.504 1
```

Summary:
ρ   4.25 g cm⁻³
Crystal system   monoclinic
DFT formation energy   -0.168 eV/atom

=====

KIn2As: relaxed, PBE-GGA.

Geometry as CIF:
```
data_KIn2As
_chemical_formula_sum 'K2 In4 As2'
_space_group_name_H-M_alt 'C 1 m 1'
_space_group_IT_number 8
_space_group_name_Hall 'C -2y'
_cell_length_a 9.260
_cell_length_b 4.112
_cell_length_c 7.089
_cell_angle_alpha 90.00
_cell_angle_beta 104.21
_cell_angle_gamma 90.00
loop_
_atom_site_label
_atom_site_type_symbol
_atom_site_fract_x
_atom_site_fract_y
_atom_site_fract_z
_atom_site_occupancy
K1 K 0.000 0.000 0.000 1
In1 In 0.032 0.500 0.550 1
In2 In 0.277 0.500 0.364 1
As1 As 0.263 0.000 0.680 1
```

Summary:
ρ   4.36 g cm⁻³
Crystal system   monoclinic
DFT formation energy   -0.160 eV/atom

=====

KIn2As: relaxed, PBE-GGA.

Geometry as CIF:
```
data_KIn2As
_chemical_formula_sum 'K4 In8 As4'
_space_group_name_H-M_alt 'I -4 2 d'
_space_group_IT_number 122
_space_group_name_Hall 'I -4 2bw'
_cell_length_a 8.855
_cell_length_b 8.855
_cell_length_c 6.317
_cell_angle_alpha 90.00
_cell_angle_beta 90.00
_cell_angle_gamma 90.00
loop_
_atom_site_label
_atom_site_type_symbol
_atom_site_fract_x
_atom_site_fract_y
_atom_site_fract_z
_atom_site_occupancy
K1 K 0.000 0.000 0.000 1
In1 In 0.180 0.250 0.625 1
As1 As 0.000 0.000 0.500 1
```

Summary:
ρ   4.61 g cm⁻³
Crystal system   tetragonal
DFT formation energy   -0.155 eV/atom

=====

KIn3As: relaxed, PBE-GGA.

Geometry as CIF:
```
data_KIn3As
_chemical_formula_sum 'K1 In3 As1'
_space_group_name_H-M_alt 'P m -3 m'
_space_group_IT_number 221
_space_group_name_Hall '-P 4 2 3'
_cell_length_a 5.558
_cell_length_b 5.558
_cell_length_c 5.558
_cell_angle_alpha 90.00
_cell_angle_beta 90.00
_cell_angle_gamma 90.00
loop_
_atom_site_label
_atom_site_type_symbol
_atom_site_fract_x
_atom_site_fract_y
_atom_site_fract_z
_atom_site_occupancy
K1 K 0.000 0.000 0.000 1
In1 In 0.000 0.500 0.500 1
As1 As 0.500 0.500 0.500 1
```

Summary:
ρ   4.43 g cm⁻³
Crystal system   cubic
DFT formation energy   0.169 eV/atom
Relative energy among the computed polymorphs   0.0 meV/atom

=====

KIn2As: relaxed, PBE-GGA.

Geometry as CIF:
```
data_KIn2As
_chemical_formula_sum 'K2 In4 As2'
_space_group_name_H-M_alt 'C m m m'
_space_group_IT_number 65
_space_group_name_Hall '-C 2 2'
_cell_length_a 6.318
_cell_length_b 10.852
_cell_length_c 3.229
_cell_angle_alpha 90.00
_cell_angle_beta 90.00
_cell_angle_gamma 90.00
loop_
_atom_site_label
_atom_site_type_symbol
_atom_site_fract_x
_atom_site_fract_y
_atom_site_fract_z
_atom_site_occupancy
K1 K 0.000 0.000 0.000 1
In1 In 0.250 0.250 0.500 1
As1 As 0.000 0.500 0.000 1
```

Summary:
ρ   5.15 g cm⁻³
Crystal system   orthorhombic
DFT formation energy   0.082 eV/atom

=====

K3InAs: relaxed, PBE-GGA.

Geometry as CIF:
```
data_K3InAs
_chemical_formula_sum 'K3 In1 As1'
_space_group_name_H-M_alt 'P m -3 m'
_space_group_IT_number 221
_space_group_name_Hall '-P 4 2 3'
_cell_length_a 6.384
_cell_length_b 6.384
_cell_length_c 6.384
_cell_angle_alpha 90.00
_cell_angle_beta 90.00
_cell_angle_gamma 90.00
loop_
_atom_site_label
_atom_site_type_symbol
_atom_site_fract_x
_atom_site_fract_y
_atom_site_fract_z
_atom_site_occupancy
K1 K 0.000 0.000 0.500 1
In1 In 0.500 0.500 0.500 1
As1 As 0.000 0.000 0.000 1
```

Summary:
ρ   1.96 g cm⁻³
Crystal system   cubic
DFT formation energy   0.064 eV/atom
Relative energy among the computed polymorphs   274.7 meV/atom

=====

K2InAs: relaxed, PBE-GGA.

Geometry as CIF:
```
data_K2InAs
_chemical_formula_sum 'K4 In2 As2'
_space_group_name_H-M_alt 'I m m 2'
_space_group_IT_number 44
_space_group_name_Hall 'I 2 -2'
_cell_length_a 4.175
_cell_length_b 5.717
_cell_length_c 11.715
_cell_angle_alpha 90.00
_cell_angle_beta 90.00
_cell_angle_gamma 90.00
loop_
_atom_site_label
_atom_site_type_symbol
_atom_site_fract_x
_atom_site_fract_y
_atom_site_fract_z
_atom_site_occupancy
K1 K 0.000 0.000 0.000 1
K2 K 0.000 0.500 0.181 1
In1 In 0.000 0.000 0.390 1
As1 As 0.000 0.500 0.741 1
```

Summary:
ρ   3.18 g cm⁻³
Crystal system   orthorhombic
DFT formation energy   -0.320 eV/atom
Relative energy among the computed polymorphs   15.5 meV/atom

=====

KIn2As: relaxed, PBE-GGA.

Geometry as CIF:
```
data_KIn2As
_chemical_formula_sum 'K3 In6 As3'
_space_group_name_H-M_alt 'R -3 m'
_space_group_IT_number 166
_space_group_name_Hall '-R 3 2"'
_cell_length_a 4.2648
_cell_length_b 4.2648
_cell_length_c 25.6015
_cell_angle_alpha 90.00
_cell_angle_beta 90.00
_cell_angle_gamma 120.00
loop_
_atom_site_label
_atom_site_type_symbol
_atom_site_fract_x
_atom_site_fract_y
_atom_site_fract_z
_atom_site_occupancy
K1 K 0.0000 0.0000 0.0000 1
In1 In 0.0000 0.0000 0.2252 1
As1 As 0.0000 0.0000 0.5000 1
```

Summary:
ρ   4.25 g cm⁻³
Crystal system   trigonal
DFT formation energy   -0.160 eV/atom

=====

K2InAs: relaxed, PBE-GGA.

Geometry as CIF:
```
data_K2InAs
_chemical_formula_sum 'K2 In1 As1'
_space_group_name_H-M_alt 'P m m m'
_space_group_IT_number 47
_space_group_name_Hall '-P 2 2'
_cell_length_a 3.279
_cell_length_b 5.187
_cell_length_c 7.211
_cell_angle_alpha 90.00
_cell_angle_beta 90.00
_cell_angle_gamma 90.00
loop_
_atom_site_label
_atom_site_type_symbol
_atom_site_fract_x
_atom_site_fract_y
_atom_site_fract_z
_atom_site_occupancy
K1 K 0.000 0.000 0.221 1
In1 In 0.500 0.500 0.500 1
As1 As 0.500 0.500 0.000 1
```

Summary:
ρ   3.63 g cm⁻³
Crystal system   orthorhombic
DFT formation energy   -0.051 eV/atom
Relative energy among the computed polymorphs   284.6 meV/atom

=====

K3InAs: relaxed, PBE-GGA.

Geometry as CIF:
```
data_K3InAs
_chemical_formula_sum 'K12 In4 As4'
_space_group_name_H-M_alt 'I m a 2'
_space_group_IT_number 46
_space_group_name_Hall 'I 2 -2a'
_cell_length_a 10.591
_cell_length_b 9.073
_cell_length_c 9.371
_cell_angle_alpha 90.00
_cell_angle_beta 90.00
_cell_angle_gamma 90.00
loop_
_atom_site_label
_atom_site_type_symbol
_atom_site_fract_x
_atom_site_fract_y
_atom_site_fract_z
_atom_site_occupancy
K1 K 0.046 0.210 0.000 1
K2 K 0.250 0.591 0.189 1
In1 In 0.250 0.007 0.301 1
As1 As 0.250 0.575 0.537 1
```

Summary:
ρ   2.26 g cm⁻³
Crystal system   orthorhombic
DFT formation energy   -0.211 eV/atom
Relative energy among the computed polymorphs   0.0 meV/atom

=====

K2InAs: relaxed, PBE-GGA.

Geometry as CIF:
```
data_K2InAs
_chemical_formula_sum 'K4 In2 As2'
_space_group_name_H-M_alt 'C 1 m 1'
_space_group_IT_number 8
_space_group_name_Hall 'C -2y'
_cell_length_a 7.782
_cell_length_b 4.485
_cell_length_c 9.807
_cell_angle_alpha 90.00
_cell_angle_beta 104.21
_cell_angle_gamma 90.00
loop_
_atom_site_label
_atom_site_type_symbol
_atom_site_fract_x
_atom_site_fract_y
_atom_site_fract_z
_atom_site_occupancy
K1 K 0.000 0.000 0.000 1
K2 K 0.177 0.000 0.568 1
In1 In 0.243 0.500 0.245 1
As1 As 0.445 0.000 0.359 1
```

Summary:
ρ   2.68 g cm⁻³
Crystal system   monoclinic
DFT formation energy   -0.251 eV/atom
Relative energy among the computed polymorphs   84.8 meV/atom